(1)
# BeP2W PBE optimized geometry
data_BeP2W
_chemical_formula_sum 'Be2 P4 W2'
_symmetry_space_group_name_H-M 'A m m 2'
_symmetry_Int_Tables_number 38
_cell_length_a 3.2020
_cell_length_b 3.1810
_cell_length_c 10.7688
_cell_angle_alpha 90.00
_cell_angle_beta 90.00
_cell_angle_gamma 90.00
loop_
_symmetry_equiv_pos_as_xyz
'x,y,z'
'-x,-y,z'
'-x,y,z'
'x,-y,z'
'x,y+1/2,z+1/2'
'-x,-y+1/2,z+1/2'
'-x,y+1/2,z+1/2'
'x,-y+1/2,z+1/2'
loop_
_atom_site_label
_atom_site_fract_x
_atom_site_fract_y
_atom_site_fract_z
_atom_site_occupancy
Be1 0.0000 0.0000 0.0000 1
P1 0.0000 0.0000 0.2083 1
P2 0.5000 0.0000 0.4867 1
W1 0.5000 0.0000 0.8126 1
# E_form = -0.1919 eV per atom
# Calculated volume = 54.8 Å³/f.u.


(2)
# HfThTe3 PBE optimized geometry
data_HfThTe3
_chemical_formula_sum 'Hf4 Th4 Te12'
_symmetry_space_group_name_H-M 'C 1 2/m 1'
_symmetry_Int_Tables_number 12
_cell_length_a 15.9382
_cell_length_b 4.0812
_cell_length_c 9.1838
_cell_angle_alpha 90.00
_cell_angle_beta 90.75
_cell_angle_gamma 90.00
loop_
_symmetry_equiv_pos_as_xyz
'x,y,z'
'-x,-y,-z'
'-x,y,-z'
'x,-y,z'
'x+1/2,y+1/2,z'
'-x+1/2,-y+1/2,-z'
'-x+1/2,y+1/2,-z'
'x+1/2,-y+1/2,z'
loop_
_atom_site_label
_atom_site_fract_x
_atom_site_fract_y
_atom_site_fract_z
_atom_site_occupancy
Hf1 0.2061 0.0000 0.1186 1
Th1 0.1044 0.5000 0.5977 1
Te1 0.0499 0.0000 0.3263 1
Te2 0.1175 0.5000 0.9504 1
Te3 0.2447 0.5000 0.3374 1
# Offset from the most stable computed form = 0.0 meV per atom
# Calculated volume = 149.3 Å³/f.u.
# Raw formation energy = -1.006 eV/atom


(3)
# CaDyAu4 PBE optimized geometry
data_CaDyAu4
_chemical_formula_sum 'Ca1 Dy1 Au4'
_symmetry_space_group_name_H-M 'P -1'
_symmetry_Int_Tables_number 2
_cell_length_a 3.7633
_cell_length_b 5.2634
_cell_length_c 7.5248
_cell_angle_alpha 69.58
_cell_angle_beta 75.65
_cell_angle_gamma 69.16
loop_
_symmetry_equiv_pos_as_xyz
'x,y,z'
'-x,-y,-z'
loop_
_atom_site_label
_atom_site_fract_x
_atom_site_fract_y
_atom_site_fract_z
_atom_site_occupancy
Ca1 0.0000 0.0000 0.0000 1
Dy1 0.0000 0.5000 0.5000 1
Au1 0.3358 0.5066 0.8247 1
Au2 0.3359 0.9920 0.3373 1
# E_form = -0.7710 eV per atom
# Offset from the most stable computed form = 0.0 meV per atom
# Calculated volume = 129.2 Å³/f.u.


(4)
# PrYScCd PBE optimized geometry
data_PrYScCd
_chemical_formula_sum 'Pr4 Y4 Sc4 Cd4'
_symmetry_space_group_name_H-M 'F -4 3 m'
_symmetry_Int_Tables_number 216
_symmetry_space_group_name_Hall 'F -4 2 3'
_cell_length_a 7.6779
_cell_length_b 7.6779
_cell_length_c 7.6779
_cell_angle_alpha 90.00
_cell_angle_beta 90.00
_cell_angle_gamma 90.00
loop_
_atom_site_label
_atom_site_fract_x
_atom_site_fract_y
_atom_site_fract_z
_atom_site_occupancy
Pr1 0.0000 0.0000 0.0000 1
Y1 0.0000 0.0000 0.5000 1
Sc1 0.2500 0.2500 0.7500 1
Cd1 0.2500 0.2500 0.2500 1
# E_form = -0.0582 eV per atom
# Offset from the most stable computed form = 73.8 meV per atom
# Calculated volume = 113.2 Å³/f.u.


(5)
# CaPPb2 PBE optimized geometry
data_CaPPb2
_chemical_formula_sum 'Ca3 P3 Pb6'
_symmetry_space_group_name_H-M 'R -3 m'
_symmetry_Int_Tables_number 166
_symmetry_space_group_name_Hall '-R 3 2"'
_cell_length_a 3.9912
_cell_length_b 3.9912
_cell_length_c 25.6484
_cell_angle_alpha 90.00
_cell_angle_beta 90.00
_cell_angle_gamma 120.00
loop_
_atom_site_label
_atom_site_fract_x
_atom_site_fract_y
_atom_site_fract_z
_atom_site_occupancy
Ca1 0.0000 0.0000 0.0000 1
P1 0.0000 0.0000 0.5000 1
Pb1 0.0000 0.0000 0.2328 1
# E_form = -0.0183 eV per atom
# Calculated volume = 117.9 Å³/f.u.


(6)
# Cr2IrW PBE optimized geometry
data_Cr2IrW
_chemical_formula_sum 'Cr4 Ir2 W2'
_symmetry_space_group_name_H-M 'I 4/m m m'
_symmetry_Int_Tables_number 139
_symmetry_space_group_name_Hall '-I 4 2'
_cell_length_a 3.8047
_cell_length_b 3.8047
_cell_length_c 7.5858
_cell_angle_alpha 90.00
_cell_angle_beta 90.00
_cell_angle_gamma 90.00
loop_
_atom_site_label
_atom_site_fract_x
_atom_site_fract_y
_atom_site_fract_z
_atom_site_occupancy
Cr1 0.0000 0.5000 0.2500 1
Ir1 0.0000 0.0000 0.0000 1
W1 0.0000 0.0000 0.5000 1
# E_form = 0.0960 eV per atom
# Calculated volume = 54.9 Å³/f.u.


(7)
# CsRb2As2Pd PBE optimized geometry
data_CsRb2As2Pd
_chemical_formula_sum 'Cs4 Rb8 As8 Pd4'
_symmetry_space_group_name_H-M 'I b a m'
_symmetry_Int_Tables_number 72
_symmetry_space_group_name_Hall '-I 2 2c'
_cell_length_a 8.2803
_cell_length_b 13.4983
_cell_length_c 8.6485
_cell_angle_alpha 90.00
_cell_angle_beta 90.00
_cell_angle_gamma 90.00
loop_
_atom_site_label
_atom_site_fract_x
_atom_site_fract_y
_atom_site_fract_z
_atom_site_occupancy
Cs1 0.0000 0.0000 0.2500 1
Rb1 0.1354 0.2847 0.0000 1
As1 0.1541 0.4676 0.5000 1
Pd1 0.0000 0.5000 0.2500 1
# E_form = -0.3111 eV per atom
# Calculated volume = 241.7 Å³/f.u.


(8)
# Sr6SbP2N PBE optimized geometry
data_Sr6SbP2N
_chemical_formula_sum 'Sr12 Sb2 P4 N2'
_symmetry_space_group_name_H-M 'P 1 21/c 1'
_symmetry_Int_Tables_number 14
_cell_length_a 7.3926
_cell_length_b 8.0479
_cell_length_c 12.9067
_cell_angle_alpha 90.00
_cell_angle_beta 123.34
_cell_angle_gamma 90.00
loop_
_symmetry_equiv_pos_as_xyz
'x,y,z'
'-x,-y,-z'
'-x,y+1/2,-z+1/2'
'x,-y+1/2,z+1/2'
loop_
_atom_site_label
_atom_site_fract_x
_atom_site_fract_y
_atom_site_fract_z
_atom_site_occupancy
Sr1 0.0799 0.0925 0.2209 1
Sr2 0.2657 0.7185 0.1020 1
Sr3 0.3405 0.1561 0.0438 1
Sb1 0.5000 0.0000 0.5000 1
P1 0.2915 0.0650 0.7726 1
N1 0.0000 0.0000 0.0000 1
# Calculated volume = 320.7 Å³/f.u.
# Raw formation energy = -0.852 eV/atom